[1]
VASP calculation (PBE) on an optimized crystal structure of Cs3Ga4Ge2.

The crystal system is triclinic. The value obtained for the energy of formation from the pure elements is -0.083 eV/atom. As for the raw total energy: -24.7 eV per cell.

Cell: 4.318 7.569 10.837 Å, 105.69 90.08 106.55°
Space group P-1 (No. 2)
Asymmetric unit:
1 Cs 0.000 0.000 0.000 [1 per cell]
2 Cs 0.401 0.798 0.612 [2 per cell]
3 Ga 0.151 0.303 0.694 [2 per cell]
4 Ga 0.281 0.562 0.911 [2 per cell]
5 Ge 0.351 0.701 0.155 [2 per cell]

***

[2]
VASP calculation (PBE) on an optimized crystal structure of Cs3Ga2Ge4.

The crystal system is monoclinic. The value obtained for the energy of formation from the pure elements is -0.040 eV/atom. As for the raw total energy: -54.9 eV per cell.

Cell: 19.386 4.125 8.653 Å, 90.00 115.87 90.00°
Space group C2/m (No. 12)
Asymmetric unit:
1 Cs 0.000 0.000 0.000 [2 per cell]
2 Cs 0.160 0.000 0.779 [4 per cell]
3 Ga 0.148 0.500 0.417 [4 per cell]
4 Ge 0.010 0.500 0.369 [4 per cell]
5 Ge 0.212 0.000 0.344 [4 per cell]

***

[3]
VASP calculation (PBE) on an optimized crystal structure of Cs2GaGeI5.

The crystal system is orthorhombic. As for the raw total energy: -98.5 eV per cell.

Cell: 4.756 21.557 17.171 Å, 90.00 90.00 90.00°
Space group Cmc2_1 (No. 36)
Asymmetric unit:
1 Cs 0.000 0.087 0.000 [4 per cell]
2 Cs 0.000 0.139 0.647 [4 per cell]
3 Ga 0.000 0.449 0.805 [4 per cell]
4 Ge 0.000 0.221 0.378 [4 per cell]
5 I 0.000 0.083 0.422 [4 per cell]
6 I 0.000 0.264 0.995 [4 per cell]
7 I 0.000 0.306 0.764 [4 per cell]
8 I 0.000 0.354 0.334 [4 per cell]
9 I 0.000 0.499 0.630 [4 per cell]

***

[4]
VASP calculation (PBE) on an optimized crystal structure of CsMg2Ga2Ge2.

The crystal system is monoclinic. The value obtained for the energy of formation from the pure elements is -0.132 eV/atom. As for the raw total energy: -40.5 eV per cell.

Cell: 9.230 4.274 9.885 Å, 90.00 105.07 90.00°
Space group C2/m (No. 12)
Asymmetric unit:
1 Cs 0.000 0.000 0.000 [2 per cell]
2 Mg 0.131 0.000 0.419 [4 per cell]
3 Ga 0.074 0.500 0.640 [4 per cell]
4 Ge 0.235 0.000 0.718 [4 per cell]

***

[5]
VASP calculation (PBE) on an optimized crystal structure of CsNa2Ga2Ge2.

The crystal system is monoclinic. The value obtained for the energy of formation from the pure elements is -0.105 eV/atom. As for the raw total energy: -39.0 eV per cell.

Cell: 10.526 4.262 10.329 Å, 90.00 111.95 90.00°
Space group C2/m (No. 12)
Asymmetric unit:
1 Cs 0.000 0.000 0.000 [2 per cell]
2 Na 0.121 0.000 0.399 [4 per cell]
3 Ga 0.101 0.500 0.631 [4 per cell]
4 Ge 0.208 0.000 0.735 [4 per cell]

***

[6]
VASP calculation (PBE) on an optimized crystal structure of Cs2Na4GaGe2.

The crystal system is monoclinic. The value obtained for the energy of formation from the pure elements is -0.023 eV/atom. As for the raw total energy: -38.9 eV per cell.

Cell: 14.988 8.444 5.319 Å, 90.00 109.92 90.00°
Space group C2/m (No. 12)
Asymmetric unit:
1 Cs 0.137 0.000 0.144 [4 per cell]
2 Na 0.131 0.312 0.638 [8 per cell]
3 Ga 0.000 0.500 0.000 [2 per cell]
4 Ge 0.173 0.500 0.178 [4 per cell]